Arrangement w

A geometry-optimized DyTmThCd structure. Source: the Alexandria database, functional PBE-GGA.

Properties
- V (Å³/atom) = 28.708

CIF file:
```
data_DyTmThCd
_chemical_formula_sum 'Dy4 Tm4 Th4 Cd4'
_cell_length_a 7.716
_cell_length_b 7.716
_cell_length_c 7.716
_cell_angle_alpha 90.00
_cell_angle_beta 90.00
_cell_angle_gamma 90.00
_symmetry_space_group_name_H-M 'F -4 3 m'
_symmetry_Int_Tables_number 216
_symmetry_space_group_name_Hall 'F -4 2 3'
loop_
_atom_site_label
_atom_site_fract_x
_atom_site_fract_y
_atom_site_fract_z
Dy1 0.000 0.000 0.000
Tm1 0.000 0.000 0.500
Th1 0.250 0.250 0.250
Cd1 0.250 0.250 0.750
```

***

Arrangement x

A geometry-optimized DyTmThCd structure. Source: the Alexandria database, functional PBE-GGA.

Properties
- V (Å³/atom) = 28.475

CIF file:
```
data_DyTmThCd
_chemical_formula_sum 'Dy1 Tm1 Th1 Cd1'
_cell_length_a 3.598
_cell_length_b 3.598
_cell_length_c 8.800
_cell_angle_alpha 90.00
_cell_angle_beta 90.00
_cell_angle_gamma 90.00
_symmetry_space_group_name_H-M 'P 4 m m'
_symmetry_Int_Tables_number 99
loop_
_symmetry_equiv_pos_as_xyz
'x,y,z'
'-y,x,z'
'-x,-y,z'
'y,-x,z'
'-x,y,z'
'y,x,z'
'x,-y,z'
'-y,-x,z'
loop_
_atom_site_label
_atom_site_fract_x
_atom_site_fract_y
_atom_site_fract_z
Dy1 0.000 0.000 0.000
Tm1 0.000 0.000 0.541
Th1 0.500 0.500 0.273
Cd1 0.500 0.500 0.766
```

***

Short version: arrangement x, arrangement w, most stable first.